# 1
TaMn3Rh | meta-GGA SCAN | PBEsol geometry

Unit cell a=4.4862 b=4.4862 c=4.4862 alpha=90.00 beta=90.00 gamma=90.00
Element x y z (fractional)
Ta: 0.0000 0.0000 0.0000
Mn: 0.0000 0.5000 0.5000
Mn: 0.5000 0.0000 0.5000
Mn: 0.5000 0.5000 0.0000
Rh: 0.5000 0.5000 0.5000

Properties
The energy relative to the lowest polymorph listed for this composition comes out at 0.0 meV per atom. As for the space group: Pm-3m. For the density of states at the Fermi level, the calculation gives 3.5 states/eV/f.u. The crystal system is cubic. The formation energy comes out at 0.94 eV per atom.

***

# 2
Li4Ti2Nb3Ni3O16 | meta-GGA SCAN | PBEsol geometry

Unit cell a=5.9053 b=5.9053 c=9.5749 alpha=90.36 beta=90.36 gamma=60.12
Element x y z (fractional)
Li: 0.0000 0.0000 0.0000
Li: 0.2360 0.2360 0.0785
Li: 0.5519 0.5519 0.5560
Li: 0.8956 0.8956 0.4575
Ti: 0.2179 0.2179 0.4515
Ti: 0.5311 0.5311 0.9724
Nb: 0.0446 0.5436 0.7479
Nb: 0.5436 0.0446 0.7479
Nb: 0.7121 0.7121 0.2292
Ni: 0.0674 0.0674 0.7406
Ni: 0.2323 0.7211 0.2493
Ni: 0.7211 0.2323 0.2493
O: 0.0510 0.5485 0.3612
O: 0.0606 0.0606 0.3629
O: 0.2202 0.7137 0.8652
O: 0.2239 0.2239 0.8752
O: 0.3720 0.3720 0.6236
O: 0.3806 0.9260 0.6095
O: 0.4032 0.8595 0.1047
O: 0.4135 0.4135 0.1181
O: 0.5485 0.0510 0.3612
O: 0.5626 0.5626 0.3595
O: 0.7063 0.7063 0.8579
O: 0.7137 0.2202 0.8652
O: 0.8595 0.4032 0.1047
O: 0.8889 0.8889 0.1519
O: 0.8924 0.8924 0.6483
O: 0.9260 0.3806 0.6095

Properties
As for the space group: Cm. For the density of states at the Fermi level, the calculation gives 2.0 states/eV/f.u. The crystal system is monoclinic. The calculation puts the formation energy without anion corrections at -2.4448 eV per atom.

***

# 3
Li3CrO4 | meta-GGA SCAN | PBEsol geometry

Unit cell a=4.9792 b=5.7321 c=4.8561 alpha=90.00 beta=109.88 gamma=90.00
Element x y z (fractional)
Li: 0.0000 0.1185 0.2500
Li: 0.0000 0.3757 0.7500
Li: 0.0000 0.6243 0.2500
Li: 0.0000 0.8815 0.7500
Li: 0.5000 0.1301 0.7500
Li: 0.5000 0.8699 0.2500
Cr: 0.5000 0.3431 0.2500
Cr: 0.5000 0.6569 0.7500
O: 0.2615 0.1432 0.0233
O: 0.2615 0.8568 0.5233
O: 0.2849 0.3932 0.4879
O: 0.2849 0.6068 0.9879
O: 0.7151 0.3932 0.0121
O: 0.7151 0.6068 0.5121
O: 0.7385 0.1432 0.4767
O: 0.7385 0.8568 0.9767

Properties
The energy relative to the lowest polymorph listed for this composition comes out at 65.4 meV per atom. As for the space group: P2/c. For the density of states at the Fermi level, the calculation gives 1.0 states/eV/f.u. The crystal system is monoclinic. The calculation puts the formation energy without anion corrections at -2.1885 eV per atom.

***

# 4
Li2ScPt | meta-GGA SCAN | PBEsol geometry

Unit cell a=5.2333 b=5.2333 c=5.2333 alpha=139.22 beta=136.41 gamma=61.21
Element x y z (fractional)
Li: 0.2447 0.2447 0.0000
Li: 0.7553 0.7553 0.0000
Sc: 0.5000 0.0000 0.5000
Pt: 0.0000 0.5000 0.5000

Properties
The energy relative to the lowest polymorph listed for this composition comes out at 21.9 meV per atom. As for the space group: Immm. For the density of states at the Fermi level, the calculation gives 1.8 states/eV/f.u. The crystal system is orthorhombic. The formation energy comes out at -0.68 eV per atom.

***

no.,volume (Å³/atom),total DFT energy (no corrections) (eV/cell)
1,18.057,-150.4
2,10.339,-357.7
3,8.146,-136.0
4,15.955,-91.9